Entry 1:
First-principles (GGA-PBE) data for MgNb2Sb2 after structural relaxation, as listed in Alexandria via LeMat-Bulk.

Geometry as POSCAR:
```
MgNb2Sb2
1.0
7.712 0.000 0.000
0.000 7.712 0.000
0.000 0.000 3.598
Mg Nb Sb
2 4 4
Cartesian
0.000 0.000 0.000
3.856 3.856 0.000
1.060 2.797 0.000
2.797 6.653 0.000
4.916 1.060 0.000
6.653 4.916 0.000
1.199 5.056 1.799
2.657 1.199 1.799
5.056 6.513 1.799
6.513 2.657 1.799
```

Values from the calculation:
total DFT energy (no corrections): -6.068 eV/atom
SG: No. 127

Entry 2:
First-principles (GGA-PBE) data for Tl2CdGa after structural relaxation, as listed in Alexandria via LeMat-Bulk.

Geometry as POSCAR:
```
Tl2CdGa
1.0
2.448 1.413 5.544
-2.448 1.413 5.544
0.000 -2.827 5.544
Tl Cd Ga
2 1 1
Cartesian
0.000 0.000 0.000
0.000 0.000 3.309
0.000 0.000 12.871
0.000 0.000 9.891
```

Values from the calculation:
energy of formation: 0.138 eV/atom
SG: No. 160